BeRh2Cl: optimized geometry, PBEsol.

Lattice parameters (Å, degrees): 3.3852 2.8106 11.6435 90.00 90.00 90.00
Atoms (fractional coordinates):
Be 0.0000 0.0000 0.0000
Be 0.0000 0.5000 0.5000
Rh 0.0000 0.0000 0.1927
Rh 0.0000 0.5000 0.6927
Rh 0.5000 0.0000 0.5454
Rh 0.5000 0.5000 0.0454
Cl 0.5000 0.0000 0.3305
Cl 0.5000 0.5000 0.8305

Total magnetic moment (Bohr magnetons per cell): 0.000
VASP energy (eV per atom): -5.4868
Space-group type: Amm2 (38)